NdDy2Y3As6: optimized geometry, PBE-GGA.

Calculated values
Symmetry = C2/m, No. 12
DOS(E_F) = 1.82 states/eV/f.u.
E_form = -1538 meV/atom

Cell and atoms, written as POSCAR:
```
NdDy2Y3As6
1.0
7.185 -0.001 0.001
-3.591 6.223 0.001
-1.198 -2.075 6.772
Nd Dy Y As
1 2 3 6
Direct
0.000 0.000 0.000
0.333 0.667 0.000
0.667 0.333 0.000
0.165 0.835 0.500
0.835 0.165 0.500
0.500 0.500 0.500
0.916 0.577 0.747
0.746 0.746 0.252
0.084 0.423 0.253
0.577 0.916 0.747
0.254 0.254 0.748
0.423 0.084 0.253
```